1.
First-principles (PBE) data for SrCa2Hg2 after structural relaxation, as listed in Alexandria via LeMat-Bulk.

CIF file:
```
data_SrCa2Hg2
_chemical_formula_sum 'Sr1 Ca2 Hg2'
_cell_length_a 5.674
_cell_length_b 5.674
_cell_length_c 6.971
_cell_angle_alpha 65.98
_cell_angle_beta 65.98
_cell_angle_gamma 90.00
_space_group_name_H-M_alt 'P 1'
_space_group_IT_number 1
_space_group_name_Hall 'P 1'
loop_
_atom_site_label
_atom_site_fract_x
_atom_site_fract_y
_atom_site_fract_z
Sr1 0.000 0.000 0.000
Ca1 0.346 0.346 0.308
Ca2 0.654 0.654 0.692
Hg1 0.750 0.250 0.500
Hg2 0.250 0.750 0.500
```

Summary:
- Offset from the most stable computed form: 186 meV per atom
- Total magnetic moment: 0.00 μB per formula unit
- Total energy: -7.61 eV per cell
- ΔE_f: -0.2646 eV per atom
- SG: No. 139
- DOS at the Fermi energy: 1.090 states/eV/atom

2.
First-principles (PBE) data for Sr4CaHg2 after structural relaxation, as listed in Alexandria via LeMat-Bulk.

CIF file:
```
data_Sr4CaHg2
_chemical_formula_sum 'Sr4 Ca1 Hg2'
_cell_length_a 6.545
_cell_length_b 6.545
_cell_length_c 9.400
_cell_angle_alpha 69.63
_cell_angle_beta 69.63
_cell_angle_gamma 90.00
_space_group_name_H-M_alt 'P 1'
_space_group_IT_number 1
_space_group_name_Hall 'P 1'
loop_
_atom_site_label
_atom_site_fract_x
_atom_site_fract_y
_atom_site_fract_z
Sr1 0.779 0.779 0.442
Sr2 0.221 0.221 0.558
Sr3 0.000 0.500 0.000
Sr4 0.500 0.000 0.000
Ca1 0.000 0.000 0.000
Hg1 0.588 0.588 0.824
Hg2 0.412 0.412 0.176
```

Summary:
- Offset from the most stable computed form: 402 meV per atom
- Total magnetic moment: 0.00 μB per formula unit
- Total energy: -7.90 eV per cell
- ΔE_f: 0.2048 eV per atom
- SG: No. 139
- DOS at the Fermi energy: 1.662 states/eV/atom

3.
First-principles (PBE) data for Sr3Ca2Hg2 after structural relaxation, as listed in Alexandria via LeMat-Bulk.

CIF file:
```
data_Sr3Ca2Hg2
_chemical_formula_sum 'Sr3 Ca2 Hg2'
_cell_length_a 4.270
_cell_length_b 7.473
_cell_length_c 9.709
_cell_angle_alpha 103.77
_cell_angle_beta 102.70
_cell_angle_gamma 106.58
_space_group_name_H-M_alt 'P 1'
_space_group_IT_number 1
_space_group_name_Hall 'P 1'
loop_
_atom_site_label
_atom_site_fract_x
_atom_site_fract_y
_atom_site_fract_z
Sr1 0.500 0.000 0.000
Sr2 0.181 0.799 0.563
Sr3 0.819 0.201 0.437
Ca1 0.663 0.498 0.828
Ca2 0.337 0.502 0.172
Hg1 0.030 0.847 0.213
Hg2 0.970 0.153 0.787
```

Summary:
- Total magnetic moment: 0.00 μB per formula unit
- Total energy: -11.86 eV per cell
- ΔE_f: -0.3160 eV per atom
- SG: No. 12
- DOS at the Fermi energy: 1.159 states/eV/atom

4.
First-principles (PBE) data for SrCaHg2 after structural relaxation, as listed in Alexandria via LeMat-Bulk.

CIF file:
```
data_SrCaHg2
_chemical_formula_sum 'Sr1 Ca1 Hg2'
_cell_length_a 4.477
_cell_length_b 4.483
_cell_length_c 6.641
_cell_angle_alpha 90.00
_cell_angle_beta 90.00
_cell_angle_gamma 90.00
_space_group_name_H-M_alt 'P 1'
_space_group_IT_number 1
_space_group_name_Hall 'P 1'
loop_
_atom_site_label
_atom_site_fract_x
_atom_site_fract_y
_atom_site_fract_z
Sr1 0.000 0.000 0.430
Ca1 0.500 0.500 0.832
Hg1 0.000 0.000 0.935
Hg2 0.500 0.500 0.304
```

Summary:
- Offset from the most stable computed form: 114 meV per atom
- Total magnetic moment: 0.00 μB per formula unit
- Total energy: -5.97 eV per cell
- ΔE_f: -0.4216 eV per atom
- SG: No. 99
- DOS at the Fermi energy: 0.661 states/eV/atom

5.
First-principles (PBE) data for SrCa2Tl2Hg2 after structural relaxation, as listed in Alexandria via LeMat-Bulk.

CIF file:
```
data_SrCa2Tl2Hg2
_chemical_formula_sum 'Sr1 Ca2 Tl2 Hg2'
_cell_length_a 5.124
_cell_length_b 5.124
_cell_length_c 10.053
_cell_angle_alpha 75.24
_cell_angle_beta 75.24
_cell_angle_gamma 60.00
_space_group_name_H-M_alt 'P 1'
_space_group_IT_number 1
_space_group_name_Hall 'P 1'
loop_
_atom_site_label
_atom_site_fract_x
_atom_site_fract_y
_atom_site_fract_z
Sr1 0.000 0.000 0.000
Ca1 0.132 0.132 0.604
Ca2 0.868 0.868 0.396
Tl1 0.740 0.740 0.780
Tl2 0.260 0.260 0.220
Hg1 0.570 0.570 0.290
Hg2 0.430 0.430 0.710
```

Summary:
- Total magnetic moment: 0.00 μB per formula unit
- Total energy: -13.31 eV per cell
- ΔE_f: -0.3270 eV per atom
- SG: No. 166
- DOS at the Fermi energy: 0.711 states/eV/atom

6.
First-principles (PBE) data for SrCaTlHg after structural relaxation, as listed in Alexandria via LeMat-Bulk.

CIF file:
```
data_SrCaTlHg
_chemical_formula_sum 'Sr1 Ca1 Tl1 Hg1'
_cell_length_a 5.592
_cell_length_b 5.592
_cell_length_c 5.592
_cell_angle_alpha 60.00
_cell_angle_beta 60.00
_cell_angle_gamma 60.00
_space_group_name_H-M_alt 'P 1'
_space_group_IT_number 1
_space_group_name_Hall 'P 1'
loop_
_atom_site_label
_atom_site_fract_x
_atom_site_fract_y
_atom_site_fract_z
Sr1 0.250 0.250 0.250
Tl1 0.000 0.000 0.000
Ca1 0.750 0.750 0.750
Hg1 0.500 0.500 0.500
```

Summary:
- Total magnetic moment: 0.00 μB per formula unit
- Total energy: -8.29 eV per cell
- ΔE_f: -0.4837 eV per atom
- SG: No. 216
- DOS at the Fermi energy: 0.699 states/eV/atom